Computed, not measured: Ti2Mo3W after structural relaxation at the PBE level of DFT.

extended XYZ file:
```
12
Lattice="3.891 -6.647 0.000 3.891 6.647 0.000 -2.603 0.000 3.680" Properties=species:S:1:pos:R:3 pbc="T T T"
Ti 1.939 5.546 2.760
Ti 3.241 3.342 0.920
Ti 1.939 -3.342 2.760
Ti 3.241 -5.546 0.920
Mo 0.644 3.323 1.840
Mo 1.968 1.098 0.014
Mo 0.666 -1.098 1.854
Mo 1.946 -3.323 0.000
Mo 4.513 1.098 1.826
Mo 3.212 -1.098 3.666
W 1.939 1.121 2.760
W 3.241 -1.121 0.920
```

Values from the calculation:
The calculation puts the total magnetization at 0.00 μB per formula unit. For the excess energy over the best structure of this formula in the dataset, the calculation gives 0.4 kJ/mol of atoms. Its calculated volume is 190.4 Å³ per cell. As for the calculated total energy: -0.75765 Ry per atom.